Entry 1:
The following is a PBE calculation of a relaxed MgH3Rh crystal, from the Alexandria database.

Geometry as CIF:
```
data_MgH3Rh
_symmetry_space_group_name_H-M 'P 1 21/m 1'
_symmetry_Int_Tables_number 11
_symmetry_space_group_name_Hall '-P 2yb'
_cell_length_a 4.969
_cell_length_b 3.035
_cell_length_c 5.846
_cell_angle_alpha 90.00
_cell_angle_beta 99.79
_cell_angle_gamma 90.00
loop_
_atom_site_label
_atom_site_fract_x
_atom_site_fract_y
_atom_site_fract_z
_atom_site_occupancy
Mg1 0.213 0.250 0.304 1
H1 0.016 0.250 0.668 1
H2 0.324 0.750 0.028 1
H3 0.347 0.750 0.644 1
Rh1 0.345 0.250 0.803 1
```

* spin magnetization: 0.00 μB/f.u.
* final energy: -4.02 eV/atom



Entry 2:
The following is a PBE calculation of a relaxed Tm2CdPt crystal, from the Alexandria database.

Geometry as CIF:
```
data_Tm2CdPt
_symmetry_space_group_name_H-M 'R -3 m'
_symmetry_Int_Tables_number 166
_symmetry_space_group_name_Hall '-R 3 2"'
_cell_length_a 3.9690
_cell_length_b 3.9690
_cell_length_c 23.3864
_cell_angle_alpha 90.00
_cell_angle_beta 90.00
_cell_angle_gamma 120.00
loop_
_atom_site_label
_atom_site_fract_x
_atom_site_fract_y
_atom_site_fract_z
_atom_site_occupancy
Tm1 0.0000 0.0000 0.2335 1
Cd1 0.0000 0.0000 0.0000 1
Pt1 0.0000 0.0000 0.5000 1
```

* spin magnetization: 0.00 μB/f.u.
* calculated formation energy: -0.687 eV/atom
* ΔE to the lowest computed polymorph: 133.2 meV per atom



Entry 3:
The following is a PBE calculation of a relaxed PrSm2YTe6 crystal, from the Alexandria database.

Geometry as CIF:
```
data_PrSm2YTe6
_symmetry_space_group_name_H-M 'R 3'
_symmetry_Int_Tables_number 146
_symmetry_space_group_name_Hall 'R 3'
_cell_length_a 7.8668
_cell_length_b 7.8668
_cell_length_c 21.4035
_cell_angle_alpha 90.00
_cell_angle_beta 90.00
_cell_angle_gamma 120.00
loop_
_atom_site_label
_atom_site_fract_x
_atom_site_fract_y
_atom_site_fract_z
_atom_site_occupancy
Pr1 0.0000 0.0000 0.0000 1
Sm1 0.0000 0.0000 0.3078 1
Sm2 0.0000 0.0000 0.8102 1
Y1 0.0000 0.0000 0.4970 1
Te1 0.0067 0.6981 0.4043 1
Te2 0.0215 0.3490 0.5696 1
```

* spin magnetization: 0.00 μB/f.u.
* formation energy (no corrections): -1.38 eV per atom



Entry 4:
The following is a PBE calculation of a relaxed RbSmNpO6 crystal, from the Alexandria database.

Geometry as CIF:
```
data_RbSmNpO6
_symmetry_space_group_name_H-M 'I m m a'
_symmetry_Int_Tables_number 74
_symmetry_space_group_name_Hall '-I 2b 2'
_cell_length_a 7.494
_cell_length_b 8.113
_cell_length_c 10.327
_cell_angle_alpha 90.00
_cell_angle_beta 90.00
_cell_angle_gamma 90.00
loop_
_atom_site_label
_atom_site_fract_x
_atom_site_fract_y
_atom_site_fract_z
_atom_site_occupancy
Rb1 0.000 0.250 0.145 1
Sm1 0.250 0.250 0.750 1
Np1 0.000 0.000 0.500 1
O1 0.000 0.250 0.582 1
O2 0.000 0.250 0.865 1
O3 0.181 0.025 0.370 1
```

* spin magnetization: 0.70 μB/f.u.
* formation energy (no corrections): -2.46 eV per atom



Entry 5:
The following is a PBE calculation of a relaxed RbTl5I7 crystal, from the Alexandria database.

Geometry as CIF:
```
data_RbTl5I7
_symmetry_space_group_name_H-M 'C 1 m 1'
_symmetry_Int_Tables_number 8
_symmetry_space_group_name_Hall 'C -2y'
_cell_length_a 16.200
_cell_length_b 4.987
_cell_length_c 29.118
_cell_angle_alpha 90.00
_cell_angle_beta 90.01
_cell_angle_gamma 90.00
loop_
_atom_site_label
_atom_site_fract_x
_atom_site_fract_y
_atom_site_fract_z
_atom_site_occupancy
Rb1 0.000 0.000 0.000 1
Rb2 0.117 0.500 0.500 1
Tl1 0.028 0.500 0.175 1
Tl2 0.028 0.500 0.825 1
Tl3 0.089 0.000 0.326 1
Tl4 0.089 0.000 0.675 1
Tl5 0.258 0.000 0.104 1
Tl6 0.258 0.000 0.897 1
Tl7 0.308 0.500 0.250 1
Tl8 0.308 0.500 0.750 1
Tl9 0.359 0.000 0.397 1
Tl10 0.359 0.000 0.604 1
I1 0.122 0.500 0.073 1
I2 0.122 0.500 0.927 1
I3 0.169 0.000 0.213 1
I4 0.169 0.000 0.787 1
I5 0.221 0.500 0.362 1
I6 0.221 0.500 0.638 1
I7 0.287 0.000 0.500 1
I8 0.330 0.000 0.000 1
I9 0.396 0.500 0.139 1
I10 0.396 0.500 0.862 1
I11 0.447 0.000 0.713 1
I12 0.448 0.000 0.288 1
I13 0.494 0.500 0.573 1
I14 0.495 0.500 0.427 1
```

* spin magnetization: 0.00 μB/f.u.
* formation energy (no corrections): -0.71 eV per atom



Entry 6:
The following is a PBE calculation of a relaxed PmPuGeOs crystal, from the Alexandria database.

Geometry as CIF:
```
data_PmPuGeOs
_symmetry_space_group_name_H-M 'F -4 3 m'
_symmetry_Int_Tables_number 216
_symmetry_space_group_name_Hall 'F -4 2 3'
_cell_length_a 7.056
_cell_length_b 7.056
_cell_length_c 7.056
_cell_angle_alpha 90.00
_cell_angle_beta 90.00
_cell_angle_gamma 90.00
loop_
_atom_site_label
_atom_site_fract_x
_atom_site_fract_y
_atom_site_fract_z
_atom_site_occupancy
Pm1 0.000 0.000 0.000 1
Pu1 0.000 0.000 0.500 1
Ge1 0.250 0.250 0.750 1
Os1 0.250 0.250 0.250 1
```

* spin magnetization: 5.02 μB/f.u.
* calculated formation energy: -0.108 eV/atom



Entry 7:
The following is a PBE calculation of a relaxed SmEr2Ag4 crystal, from the Alexandria database.

Geometry as CIF:
```
data_SmEr2Ag4
_symmetry_space_group_name_H-M 'I 4/m m m'
_symmetry_Int_Tables_number 139
_symmetry_space_group_name_Hall '-I 4 2'
_cell_length_a 7.247
_cell_length_b 7.247
_cell_length_c 6.970
_cell_angle_alpha 90.00
_cell_angle_beta 90.00
_cell_angle_gamma 90.00
loop_
_atom_site_label
_atom_site_fract_x
_atom_site_fract_y
_atom_site_fract_z
_atom_site_occupancy
Sm1 0.000 0.000 0.000 1
Er1 0.000 0.500 0.000 1
Ag1 0.250 0.250 0.250 1
```

* spin magnetization: 0.00 μB/f.u.
* calculated formation energy: -0.087 eV/atom



Entry 8:
The following is a PBE calculation of a relaxed Nd8PtRh3Br4 crystal, from the Alexandria database.

Geometry as CIF:
```
data_Nd8PtRh3Br4
_symmetry_space_group_name_H-M 'C 1 2/m 1'
_symmetry_Int_Tables_number 12
_symmetry_space_group_name_Hall '-C 2y'
_cell_length_a 14.394
_cell_length_b 8.312
_cell_length_c 9.166
_cell_angle_alpha 90.00
_cell_angle_beta 121.62
_cell_angle_gamma 90.00
loop_
_atom_site_label
_atom_site_fract_x
_atom_site_fract_y
_atom_site_fract_z
_atom_site_occupancy
Nd1 0.019 0.246 0.304 1
Nd2 0.232 0.000 0.697 1
Nd3 0.235 0.500 0.696 1
Pt1 0.000 0.500 0.500 1
Rh1 0.000 0.000 0.500 1
Rh2 0.250 0.250 0.500 1
Br1 0.000 0.000 0.000 1
Br2 0.000 0.500 0.000 1
Br3 0.250 0.250 0.000 1
```

* spin magnetization: 0.00 μB/f.u.
* formation energy (no corrections): -1.12 eV per atom



Entry 9:
The following is a PBE calculation of a relaxed Li2CdB crystal, from the Alexandria database.

Geometry as CIF:
```
data_Li2CdB
_symmetry_space_group_name_H-M 'I -4 2 d'
_symmetry_Int_Tables_number 122
_symmetry_space_group_name_Hall 'I -4 2bw'
_cell_length_a 8.351
_cell_length_b 8.351
_cell_length_c 4.341
_cell_angle_alpha 90.00
_cell_angle_beta 90.00
_cell_angle_gamma 90.00
loop_
_atom_site_label
_atom_site_fract_x
_atom_site_fract_y
_atom_site_fract_z
_atom_site_occupancy
Li1 0.105 0.250 0.125 1
Cd1 0.000 0.000 0.500 1
B1 0.000 0.000 0.000 1
```

* spin magnetization: 0.00 μB/f.u.
* calculated formation energy: 0.451 eV/atom
* ΔE to the lowest computed polymorph: 22.7 meV per atom



Entry 10:
The following is a PBE calculation of a relaxed BaSr4Ag crystal, from the Alexandria database.

Geometry as CIF:
```
data_BaSr4Ag
_symmetry_space_group_name_H-M 'P 1 21/m 1'
_symmetry_Int_Tables_number 11
_symmetry_space_group_name_Hall '-P 2yb'
_cell_length_a 6.773
_cell_length_b 8.143
_cell_length_c 11.095
_cell_angle_alpha 90.00
_cell_angle_beta 99.79
_cell_angle_gamma 90.00
loop_
_atom_site_label
_atom_site_fract_x
_atom_site_fract_y
_atom_site_fract_z
_atom_site_occupancy
Ba1 0.230 0.250 0.444 1
Sr1 0.131 0.250 0.059 1
Sr2 0.195 0.750 0.299 1
Sr3 0.340 0.509 0.790 1
Ag1 0.367 0.750 0.033 1
```

* spin magnetization: 0.00 μB/f.u.
* calculated formation energy: -0.065 eV/atom



Entry 11:
The following is a PBE calculation of a relaxed BaAcNd2 crystal, from the Alexandria database.

Geometry as CIF:
```
data_BaAcNd2
_symmetry_space_group_name_H-M 'P 4/m m m'
_symmetry_Int_Tables_number 123
_symmetry_space_group_name_Hall '-P 4 2'
_cell_length_a 5.551
_cell_length_b 5.551
_cell_length_c 5.420
_cell_angle_alpha 90.00
_cell_angle_beta 90.00
_cell_angle_gamma 90.00
loop_
_atom_site_label
_atom_site_fract_x
_atom_site_fract_y
_atom_site_fract_z
_atom_site_occupancy
Ba1 0.000 0.000 0.000 1
Ac1 0.500 0.500 0.000 1
Nd1 0.000 0.500 0.500 1
```

* spin magnetization: 0.00 μB/f.u.
* calculated formation energy: 0.163 eV/atom
* ΔE to the lowest computed polymorph: 48.3 meV per atom



Entry 12:
The following is a PBE calculation of a relaxed UInAgI6 crystal, from the Alexandria database.

Geometry as CIF:
```
data_UInAgI6
_symmetry_space_group_name_H-M 'P -3 1 c'
_symmetry_Int_Tables_number 163
_symmetry_space_group_name_Hall '-P 3 2c'
_cell_length_a 7.7598
_cell_length_b 7.7598
_cell_length_c 15.3018
_cell_angle_alpha 90.00
_cell_angle_beta 90.00
_cell_angle_gamma 120.00
loop_
_atom_site_label
_atom_site_fract_x
_atom_site_fract_y
_atom_site_fract_z
_atom_site_occupancy
U1 0.3333 0.6667 0.2500 1
In1 0.0000 0.0000 0.0000 1
Ag1 0.3333 0.6667 0.7500 1
I1 0.0051 0.3600 0.1350 1
```

* spin magnetization: 2.00 μB/f.u.
* formation energy (no corrections): -0.59 eV per atom



Entry 13:
The following is a PBE calculation of a relaxed Mn2NiAu crystal, from the Alexandria database.

Geometry as CIF:
```
data_Mn2NiAu
_symmetry_space_group_name_H-M 'P m m m'
_symmetry_Int_Tables_number 47
_symmetry_space_group_name_Hall '-P 2 2'
_cell_length_a 2.628
_cell_length_b 3.797
_cell_length_c 5.185
_cell_angle_alpha 90.00
_cell_angle_beta 90.00
_cell_angle_gamma 90.00
loop_
_atom_site_label
_atom_site_fract_x
_atom_site_fract_y
_atom_site_fract_z
_atom_site_occupancy
Mn1 0.000 0.000 0.193 1
Ni1 0.500 0.500 0.000 1
Au1 0.500 0.500 0.500 1
```

* spin magnetization: 0.00 μB/f.u.
* calculated formation energy: 0.271 eV/atom
* ΔE to the lowest computed polymorph: 269.8 meV per atom



Entry 14:
The following is a PBE calculation of a relaxed Zn2CuBr crystal, from the Alexandria database.

Geometry as CIF:
```
data_Zn2CuBr
_symmetry_space_group_name_H-M 'I -4 2 d'
_symmetry_Int_Tables_number 122
_symmetry_space_group_name_Hall 'I -4 2bw'
_cell_length_a 6.620
_cell_length_b 6.620
_cell_length_c 8.588
_cell_angle_alpha 90.00
_cell_angle_beta 90.00
_cell_angle_gamma 90.00
loop_
_atom_site_label
_atom_site_fract_x
_atom_site_fract_y
_atom_site_fract_z
_atom_site_occupancy
Zn1 0.211 0.750 0.125 1
Cu1 0.000 0.000 0.000 1
Br1 0.000 0.000 0.500 1
```

* spin magnetization: 0.00 μB/f.u.
* formation energy (no corrections): 0.13 eV per atom
* ΔE to the lowest computed polymorph: 176.7 meV per atom



Entry 15:
The following is a PBE calculation of a relaxed ThAl2GaCu2 crystal, from the Alexandria database.

Geometry as CIF:
```
data_ThAl2GaCu2
_symmetry_space_group_name_H-M 'P 4/m m m'
_symmetry_Int_Tables_number 123
_symmetry_space_group_name_Hall '-P 4 2'
_cell_length_a 4.485
_cell_length_b 4.485
_cell_length_c 5.723
_cell_angle_alpha 90.00
_cell_angle_beta 90.00
_cell_angle_gamma 90.00
loop_
_atom_site_label
_atom_site_fract_x
_atom_site_fract_y
_atom_site_fract_z
_atom_site_occupancy
Th1 0.000 0.000 0.000 1
Al1 0.500 0.500 0.235 1
Ga1 0.000 0.000 0.500 1
Cu1 0.000 0.500 0.500 1
```

* spin magnetization: 0.00 μB/f.u.
* calculated formation energy: -0.034 eV/atom



Entry 16:
The following is a PBE calculation of a relaxed VCdH crystal, from the Alexandria database.

Geometry as CIF:
```
data_VCdH
_symmetry_space_group_name_H-M 'P 1 m 1'
_symmetry_Int_Tables_number 6
_symmetry_space_group_name_Hall 'P -2y'
_cell_length_a 2.846
_cell_length_b 4.701
_cell_length_c 5.596
_cell_angle_alpha 90.00
_cell_angle_beta 96.46
_cell_angle_gamma 90.00
loop_
_atom_site_label
_atom_site_fract_x
_atom_site_fract_y
_atom_site_fract_z
_atom_site_occupancy
V1 0.000 0.000 0.000 1
V2 0.250 0.500 0.815 1
Cd1 0.527 0.000 0.535 1
Cd2 0.875 0.500 0.315 1
H1 0.486 0.228 0.011 1
```

* spin magnetization: 0.00 μB/f.u.
* ΔE to the lowest computed polymorph: 157.8 meV per atom



Entry 17:
The following is a PBE calculation of a relaxed NaZn3Au9 crystal, from the Alexandria database.

Geometry as CIF:
```
data_NaZn3Au9
_symmetry_space_group_name_H-M 'C 1 2/m 1'
_symmetry_Int_Tables_number 12
_symmetry_space_group_name_Hall '-C 2y'
_cell_length_a 5.439
_cell_length_b 13.180
_cell_length_c 7.043
_cell_angle_alpha 90.00
_cell_angle_beta 109.12
_cell_angle_gamma 90.00
loop_
_atom_site_label
_atom_site_fract_x
_atom_site_fract_y
_atom_site_fract_z
_atom_site_occupancy
Na1 0.000 0.000 0.000 1
Zn1 0.000 0.500 0.500 1
Zn2 0.250 0.250 0.000 1
Au1 0.000 0.000 0.500 1
Au2 0.084 0.391 0.214 1
Au3 0.142 0.177 0.333 1
```

* spin magnetization: 0.00 μB/f.u.
* calculated formation energy: -0.183 eV/atom



Entry 18:
The following is a PBE calculation of a relaxed Ba4Pd3Pt crystal, from the Alexandria database.

Geometry as CIF:
```
data_Ba4Pd3Pt
_symmetry_space_group_name_H-M 'P m m 2'
_symmetry_Int_Tables_number 25
_symmetry_space_group_name_Hall 'P 2 -2'
_cell_length_a 4.475
_cell_length_b 4.709
_cell_length_c 11.877
_cell_angle_alpha 90.00
_cell_angle_beta 90.00
_cell_angle_gamma 90.00
loop_
_atom_site_label
_atom_site_fract_x
_atom_site_fract_y
_atom_site_fract_z
_atom_site_occupancy
Ba1 0.000 0.000 0.000 1
Ba2 0.000 0.500 0.274 1
Ba3 0.500 0.000 0.492 1
Ba4 0.500 0.500 0.773 1
Pd1 0.000 0.000 0.702 1
Pd2 0.000 0.500 0.566 1
Pd3 0.500 0.500 0.066 1
Pt1 0.500 0.000 0.207 1
```

* spin magnetization: 0.00 μB/f.u.
* calculated formation energy: -0.588 eV/atom



Entry 19:
The following is a PBE calculation of a relaxed ZnS crystal, from the Alexandria database.

Geometry as CIF:
```
data_ZnS
_symmetry_space_group_name_H-M 'P 4/m'
_symmetry_Int_Tables_number 83
_symmetry_space_group_name_Hall '-P 4'
_cell_length_a 10.419
_cell_length_b 10.419
_cell_length_c 3.901
_cell_angle_alpha 90.00
_cell_angle_beta 90.00
_cell_angle_gamma 90.00
loop_
_atom_site_label
_atom_site_fract_x
_atom_site_fract_y
_atom_site_fract_z
_atom_site_occupancy
Zn1 0.086 0.615 0.000 1
Zn2 0.135 0.283 0.500 1
S1 0.101 0.737 0.500 1
S2 0.161 0.405 0.000 1
```

* spin magnetization: 0.00 μB/f.u.
* formation energy (no corrections): -0.67 eV per atom



Entry 20:
The following is a PBE calculation of a relaxed Zr2InFe crystal, from the Alexandria database.

Geometry as CIF:
```
data_Zr2InFe
_symmetry_space_group_name_H-M 'P m m m'
_symmetry_Int_Tables_number 47
_symmetry_space_group_name_Hall '-P 2 2'
_cell_length_a 3.226
_cell_length_b 3.240
_cell_length_c 7.464
_cell_angle_alpha 90.00
_cell_angle_beta 90.00
_cell_angle_gamma 90.00
loop_
_atom_site_label
_atom_site_fract_x
_atom_site_fract_y
_atom_site_fract_z
_atom_site_occupancy
Zr1 0.000 0.000 0.208 1
In1 0.500 0.500 0.500 1
Fe1 0.500 0.500 0.000 1
```

* spin magnetization: 0.78 μB/f.u.
* calculated formation energy: -0.212 eV/atom